Computed, not measured: a relaxed Li4MnF6 crystal at the PBE with a Hubbard U level of DFT.

Properties
space-group type	P-3m1 (164)
total moment	5.0	μB/f.u.
raw total energy	-172.98	eV per cell

Cell lengths 8.822, 8.822, 4.943 Å; angles 90.00, 90.00, 120.00 degrees
Fractional positions:
Li1 0.000 0.316 0.000
Li2 0.000 0.348 0.500
Li3 0.000 0.652 0.500
Li4 0.000 0.684 0.000
Li5 0.316 0.000 0.000
Li6 0.316 0.316 0.000
Li7 0.348 0.000 0.500
Li8 0.348 0.348 0.500
Li9 0.652 0.000 0.500
Li10 0.652 0.652 0.500
Li11 0.684 0.000 0.000
Li12 0.684 0.684 0.000
Mn1 0.000 0.000 0.500
Mn2 0.333 0.667 0.992
Mn3 0.667 0.333 0.008
F1 0.094 0.547 0.760
F2 0.120 0.240 0.728
F3 0.120 0.880 0.728
F4 0.213 0.427 0.224
F5 0.213 0.787 0.224
F6 0.240 0.120 0.272
F7 0.427 0.213 0.776
F8 0.453 0.547 0.760
F9 0.453 0.906 0.760
F10 0.547 0.094 0.240
F11 0.547 0.453 0.240
F12 0.573 0.787 0.224
F13 0.760 0.880 0.728
F14 0.787 0.213 0.776
F15 0.787 0.573 0.776
F16 0.880 0.120 0.272
F17 0.880 0.760 0.272
F18 0.906 0.453 0.240